The following is a DFT calculation (GGA-PBE) of a relaxed LaEuPd2 crystal.

Calculated values
Formation enthalpy at 0 K   -734 meV per atom
ΔE to the lowest computed polymorph   1.8 kJ/mol of formula units
Fermi-level density of states   2.312 states/eV per atom

a b c (Å): 5.162 5.162 5.162
angles (deg): 60.00 60.00 60.00
Element x y z (fractional)
Pd1 0.750 0.750 0.750
Eu1 0.500 0.500 0.500
Pd2 0.250 0.250 0.250
La1 0.000 0.000 0.000